First-principles (GGA+U) data for BaTm2Mo4O16 after structural relaxation, as listed in Alexandria via LeMat-Bulk.

The structure in POSCAR format:
```
BaTm2Mo4O16
1.0
2.6180 -6.2856 0.0000
2.6180 6.2856 0.0000
-0.8298 0.0000 19.9846
Ba Tm Mo O
2 4 8 32
Direct
0.0301 0.9699 0.7500
0.9699 0.0301 0.2500
0.1451 0.8484 0.5301
0.1516 0.8550 0.9699
0.8484 0.1451 0.0301
0.8550 0.1516 0.4699
0.2577 0.7413 0.1430
0.2587 0.7423 0.3570
0.4266 0.5469 0.9110
0.4531 0.5734 0.5890
0.5469 0.4266 0.4110
0.5734 0.4531 0.0890
0.7413 0.2577 0.6430
0.7423 0.2587 0.8570
0.0067 0.7374 0.1688
0.0560 0.5804 0.4352
0.0779 0.3818 0.1280
0.1055 0.4911 0.2923
0.1627 0.5043 0.9586
0.2170 0.2534 0.5350
0.2221 0.3246 0.4020
0.2534 0.2170 0.0350
0.2626 0.9933 0.3312
0.3006 0.4642 0.6669
0.3246 0.2221 0.9020
0.3818 0.0779 0.6280
0.4196 0.9440 0.0648
0.4642 0.3006 0.1669
0.4911 0.1055 0.7923
0.4957 0.8373 0.5414
0.5043 0.1627 0.4586
0.5089 0.8945 0.2077
0.5358 0.6994 0.8331
0.5804 0.0560 0.9352
0.6182 0.9221 0.3720
0.6754 0.7779 0.0980
0.6994 0.5358 0.3331
0.7374 0.0067 0.6688
0.7466 0.7830 0.9650
0.7779 0.6754 0.5980
0.7830 0.7466 0.4650
0.8373 0.4957 0.0414
0.8945 0.5089 0.7077
0.9221 0.6182 0.8720
0.9440 0.4196 0.5648
0.9933 0.2626 0.8312
```

## Properties
Uncorrected energy, Ry per atom: -0.544
SG: C2/c (15)
M_tot, μB per atom: 0.000
Crystal system: monoclinic